(P)
# CuSbW (PBE, optimized geometry)
data_CuSbW
_chemical_formula_sum 'Cu1 Sb1 W1'
_space_group_name_H-M_alt 'P 1'
_space_group_IT_number 1
_cell_length_a 4.385
_cell_length_b 4.385
_cell_length_c 4.385
_cell_angle_alpha 60.00
_cell_angle_beta 60.00
_cell_angle_gamma 60.00
loop_
_space_group_symop_operation_xyz
'x,y,z'
loop_
_atom_site_label
_atom_site_fract_x
_atom_site_fract_y
_atom_site_fract_z
Cu1 0.000 0.000 0.000
Sb1 0.250 0.250 0.250
W1 0.500 0.500 0.500
# Size of the total moment, μB/f.u.: 0.0

(Q)
# CuSbW (PBE, optimized geometry)
data_CuSbW
_chemical_formula_sum 'Cu1 Sb1 W1'
_space_group_name_H-M_alt 'P 1'
_space_group_IT_number 1
_cell_length_a 3.060
_cell_length_b 3.060
_cell_length_c 6.533
_cell_angle_alpha 90.00
_cell_angle_beta 90.00
_cell_angle_gamma 120.00
loop_
_space_group_symop_operation_xyz
'x,y,z'
loop_
_atom_site_label
_atom_site_fract_x
_atom_site_fract_y
_atom_site_fract_z
Cu1 0.000 0.000 0.000
Sb1 0.333 0.667 0.344
W1 0.667 0.333 0.693
# Size of the total moment, μB/f.u.: 0.0

(R)
# CuSbW (PBE, optimized geometry)
data_CuSbW
_chemical_formula_sum 'Cu1 Sb1 W1'
_space_group_name_H-M_alt 'P 1'
_space_group_IT_number 1
_cell_length_a 7.259
_cell_length_b 7.259
_cell_length_c 7.259
_cell_angle_alpha 156.75
_cell_angle_beta 156.75
_cell_angle_gamma 33.11
loop_
_space_group_symop_operation_xyz
'x,y,z'
loop_
_atom_site_label
_atom_site_fract_x
_atom_site_fract_y
_atom_site_fract_z
Cu1 0.000 0.000 0.000
Sb1 0.726 0.726 0.000
W1 0.383 0.383 0.000
# Size of the total moment, μB/f.u.: 0.0

(S)
# CuSbW (PBE, optimized geometry)
data_CuSbW
_chemical_formula_sum 'Cu1 Sb1 W1'
_space_group_name_H-M_alt 'P 1'
_space_group_IT_number 1
_cell_length_a 7.551
_cell_length_b 7.451
_cell_length_c 2.936
_cell_angle_alpha 80.63
_cell_angle_beta 76.81
_cell_angle_gamma 22.56
loop_
_space_group_symop_operation_xyz
'x,y,z'
loop_
_atom_site_label
_atom_site_fract_x
_atom_site_fract_y
_atom_site_fract_z
Cu1 0.000 0.000 0.000
Sb1 0.266 0.266 0.734
W1 0.617 0.617 0.383
# Size of the total moment, μB/f.u.: 0.0

Which is the most stable structure? (Q) is the most stable.

(P)
# Y2Cu2Sb (PBE, optimized geometry)
data_Y2Cu2Sb
_chemical_formula_sum 'Y2 Cu2 Sb1'
_space_group_name_H-M_alt 'P 1'
_space_group_IT_number 1
_cell_length_a 5.971
_cell_length_b 5.971
_cell_length_c 5.971
_cell_angle_alpha 130.45
_cell_angle_beta 130.45
_cell_angle_gamma 72.68
loop_
_space_group_symop_operation_xyz
'x,y,z'
loop_
_atom_site_label
_atom_site_fract_x
_atom_site_fract_y
_atom_site_fract_z
Y1 0.250 0.750 0.500
Y2 0.750 0.250 0.500
Cu1 0.117 0.117 0.000
Cu2 0.883 0.883 0.000
Sb1 0.500 0.500 0.000
# Size of the total moment, μB/f.u.: 0.0

(Q)
# Y2Cu2Sb (PBE, optimized geometry)
data_Y2Cu2Sb
_chemical_formula_sum 'Y4 Cu4 Sb2'
_space_group_name_H-M_alt 'P 1'
_space_group_IT_number 1
_cell_length_a 8.152
_cell_length_b 8.152
_cell_length_c 3.566
_cell_angle_alpha 90.00
_cell_angle_beta 90.00
_cell_angle_gamma 90.00
loop_
_space_group_symop_operation_xyz
'x,y,z'
loop_
_atom_site_label
_atom_site_fract_x
_atom_site_fract_y
_atom_site_fract_z
Y1 0.173 0.327 0.000
Y2 0.327 0.827 0.000
Y3 0.673 0.173 0.000
Y4 0.827 0.673 0.000
Cu1 0.112 0.612 0.500
Cu2 0.388 0.112 0.500
Cu3 0.612 0.888 0.500
Cu4 0.888 0.388 0.500
Sb1 0.000 0.000 0.000
Sb2 0.500 0.500 0.000
# Size of the total moment, μB/f.u.: 0.0

(R)
# Y2Cu2Sb (PBE, optimized geometry)
data_Y2Cu2Sb
_chemical_formula_sum 'Y4 Cu4 Sb2'
_space_group_name_H-M_alt 'P 1'
_space_group_IT_number 1
_cell_length_a 7.238
_cell_length_b 7.238
_cell_length_c 4.092
_cell_angle_alpha 90.00
_cell_angle_beta 90.00
_cell_angle_gamma 90.00
loop_
_space_group_symop_operation_xyz
'x,y,z'
loop_
_atom_site_label
_atom_site_fract_x
_atom_site_fract_y
_atom_site_fract_z
Y1 0.172 0.328 0.000
Y2 0.328 0.828 0.000
Y3 0.672 0.172 0.000
Y4 0.828 0.672 0.000
Cu1 0.121 0.621 0.500
Cu2 0.379 0.121 0.500
Cu3 0.621 0.879 0.500
Cu4 0.879 0.379 0.500
Sb1 0.000 0.000 0.500
Sb2 0.500 0.500 0.500
# Size of the total moment, μB/f.u.: 0.0

Which is the most stable structure? (R) is the most stable.

(P)
# YCu3Sb (PBE, optimized geometry)
data_YCu3Sb
_chemical_formula_sum 'Y1 Cu3 Sb1'
_space_group_name_H-M_alt 'P 1'
_space_group_IT_number 1
_cell_length_a 5.009
_cell_length_b 5.009
_cell_length_c 5.009
_cell_angle_alpha 90.00
_cell_angle_beta 90.00
_cell_angle_gamma 90.00
loop_
_space_group_symop_operation_xyz
'x,y,z'
loop_
_atom_site_label
_atom_site_fract_x
_atom_site_fract_y
_atom_site_fract_z
Y1 0.000 0.000 0.000
Cu1 0.000 0.000 0.500
Cu2 0.000 0.500 0.000
Cu3 0.500 0.000 0.000
Sb1 0.500 0.500 0.500
# Size of the total moment, μB/f.u.: 0.0

(Q)
# YCu3Sb (PBE, optimized geometry)
data_YCu3Sb
_chemical_formula_sum 'Y1 Cu3 Sb1'
_space_group_name_H-M_alt 'P 1'
_space_group_IT_number 1
_cell_length_a 4.808
_cell_length_b 4.808
_cell_length_c 4.808
_cell_angle_alpha 90.00
_cell_angle_beta 90.00
_cell_angle_gamma 90.00
loop_
_space_group_symop_operation_xyz
'x,y,z'
loop_
_atom_site_label
_atom_site_fract_x
_atom_site_fract_y
_atom_site_fract_z
Y1 0.000 0.000 0.000
Cu1 0.000 0.500 0.500
Cu2 0.500 0.000 0.500
Cu3 0.500 0.500 0.000
Sb1 0.500 0.500 0.500
# Size of the total moment, μB/f.u.: 0.0

Which is the most stable structure? (Q) is the most stable.

(P)
# ZnCu3Sb (PBE, optimized geometry)
data_ZnCu3Sb
_chemical_formula_sum 'Zn1 Cu3 Sb1'
_space_group_name_H-M_alt 'P 1'
_space_group_IT_number 1
_cell_length_a 4.502
_cell_length_b 4.502
_cell_length_c 4.502
_cell_angle_alpha 90.00
_cell_angle_beta 90.00
_cell_angle_gamma 90.00
loop_
_space_group_symop_operation_xyz
'x,y,z'
loop_
_atom_site_label
_atom_site_fract_x
_atom_site_fract_y
_atom_site_fract_z
Zn1 0.000 0.000 0.000
Cu1 0.000 0.000 0.500
Cu2 0.000 0.500 0.000
Cu3 0.500 0.000 0.000
Sb1 0.500 0.500 0.500
# Size of the total moment, μB/f.u.: 0.0

(Q)
# ZnCu3Sb (PBE, optimized geometry)
data_ZnCu3Sb
_chemical_formula_sum 'Zn1 Cu3 Sb1'
_space_group_name_H-M_alt 'P 1'
_space_group_IT_number 1
_cell_length_a 4.912
_cell_length_b 4.912
_cell_length_c 4.912
_cell_angle_alpha 90.00
_cell_angle_beta 90.00
_cell_angle_gamma 90.00
loop_
_space_group_symop_operation_xyz
'x,y,z'
loop_
_atom_site_label
_atom_site_fract_x
_atom_site_fract_y
_atom_site_fract_z
Zn1 0.000 0.000 0.000
Cu1 0.000 0.500 0.500
Cu2 0.500 0.000 0.500
Cu3 0.500 0.500 0.000
Sb1 0.500 0.500 0.500
# Size of the total moment, μB/f.u.: 0.0

Which is the most stable structure? (P) is the most stable.

(P)
# Zr4CuSb (PBE, optimized geometry)
data_Zr4CuSb
_chemical_formula_sum 'Zr4 Cu1 Sb1'
_space_group_name_H-M_alt 'P 1'
_space_group_IT_number 1
_cell_length_a 5.734
_cell_length_b 5.734
_cell_length_c 5.734
_cell_angle_alpha 60.00
_cell_angle_beta 60.00
_cell_angle_gamma 60.00
loop_
_space_group_symop_operation_xyz
'x,y,z'
loop_
_atom_site_label
_atom_site_fract_x
_atom_site_fract_y
_atom_site_fract_z
Zr1 0.125 0.125 0.125
Zr2 0.125 0.125 0.625
Zr3 0.125 0.625 0.125
Zr4 0.625 0.125 0.125
Cu1 0.750 0.750 0.750
Sb1 0.500 0.500 0.500
# Size of the total moment, μB/f.u.: 0.0

(Q)
# Zr4CuSb (PBE, optimized geometry)
data_Zr4CuSb
_chemical_formula_sum 'Zr8 Cu2 Sb2'
_space_group_name_H-M_alt 'P 1'
_space_group_IT_number 1
_cell_length_a 6.698
_cell_length_b 6.698
_cell_length_c 5.702
_cell_angle_alpha 90.00
_cell_angle_beta 90.00
_cell_angle_gamma 90.00
loop_
_space_group_symop_operation_xyz
'x,y,z'
loop_
_atom_site_label
_atom_site_fract_x
_atom_site_fract_y
_atom_site_fract_z
Zr1 0.142 0.333 0.000
Zr2 0.142 0.667 0.500
Zr3 0.333 0.142 0.500
Zr4 0.333 0.858 0.000
Zr5 0.667 0.142 0.000
Zr6 0.667 0.858 0.500
Zr7 0.858 0.333 0.500
Zr8 0.858 0.667 0.000
Cu1 0.000 0.000 0.250
Cu2 0.000 0.000 0.750
Sb1 0.500 0.500 0.250
Sb2 0.500 0.500 0.750
# Size of the total moment, μB/f.u.: 0.0

Which is the most stable structure? (Q) is the most stable.

(P)
# ZrCuSb3 (PBE, optimized geometry)
data_ZrCuSb3
_chemical_formula_sum 'Zr1 Cu1 Sb3'
_space_group_name_H-M_alt 'P 1'
_space_group_IT_number 1
_cell_length_a 5.510
_cell_length_b 5.510
_cell_length_c 5.510
_cell_angle_alpha 90.00
_cell_angle_beta 90.00
_cell_angle_gamma 90.00
loop_
_space_group_symop_operation_xyz
'x,y,z'
loop_
_atom_site_label
_atom_site_fract_x
_atom_site_fract_y
_atom_site_fract_z
Zr1 0.000 0.000 0.000
Cu1 0.500 0.500 0.500
Sb1 0.000 0.000 0.500
Sb2 0.000 0.500 0.000
Sb3 0.500 0.000 0.000
# Size of the total moment, μB/f.u.: 0.0

(Q)
# ZrCuSb3 (PBE, optimized geometry)
data_ZrCuSb3
_chemical_formula_sum 'Zr1 Cu1 Sb3'
_space_group_name_H-M_alt 'P 1'
_space_group_IT_number 1
_cell_length_a 5.038
_cell_length_b 5.038
_cell_length_c 5.038
_cell_angle_alpha 90.00
_cell_angle_beta 90.00
_cell_angle_gamma 90.00
loop_
_space_group_symop_operation_xyz
'x,y,z'
loop_
_atom_site_label
_atom_site_fract_x
_atom_site_fract_y
_atom_site_fract_z
Zr1 0.000 0.000 0.000
Cu1 0.500 0.500 0.500
Sb1 0.000 0.500 0.500
Sb2 0.500 0.000 0.500
Sb3 0.500 0.500 0.000
# Size of the total moment, μB/f.u.: 0.0

Which is the most stable structure? (Q) is the most stable.

(P)
# Zr2Cu2Sb (PBE, optimized geometry)
data_Zr2Cu2Sb
_chemical_formula_sum 'Zr4 Cu4 Sb2'
_space_group_name_H-M_alt 'P 1'
_space_group_IT_number 1
_cell_length_a 6.725
_cell_length_b 6.725
_cell_length_c 4.076
_cell_angle_alpha 90.00
_cell_angle_beta 90.00
_cell_angle_gamma 90.00
loop_
_space_group_symop_operation_xyz
'x,y,z'
loop_
_atom_site_label
_atom_site_fract_x
_atom_site_fract_y
_atom_site_fract_z
Zr1 0.166 0.334 0.000
Zr2 0.334 0.834 0.000
Zr3 0.666 0.166 0.000
Zr4 0.834 0.666 0.000
Cu1 0.126 0.626 0.500
Cu2 0.374 0.126 0.500
Cu3 0.626 0.874 0.500
Cu4 0.874 0.374 0.500
Sb1 0.000 0.000 0.500
Sb2 0.500 0.500 0.500
# Size of the total moment, μB/f.u.: 0.0

(Q)
# Zr2Cu2Sb (PBE, optimized geometry)
data_Zr2Cu2Sb
_chemical_formula_sum 'Zr4 Cu4 Sb2'
_space_group_name_H-M_alt 'P 1'
_space_group_IT_number 1
_cell_length_a 7.748
_cell_length_b 7.748
_cell_length_c 3.313
_cell_angle_alpha 90.00
_cell_angle_beta 90.00
_cell_angle_gamma 90.00
loop_
_space_group_symop_operation_xyz
'x,y,z'
loop_
_atom_site_label
_atom_site_fract_x
_atom_site_fract_y
_atom_site_fract_z
Zr1 0.166 0.334 0.000
Zr2 0.334 0.834 0.000
Zr3 0.666 0.166 0.000
Zr4 0.834 0.666 0.000
Cu1 0.123 0.623 0.500
Cu2 0.377 0.123 0.500
Cu3 0.623 0.877 0.500
Cu4 0.877 0.377 0.500
Sb1 0.000 0.000 0.000
Sb2 0.500 0.500 0.000
# Size of the total moment, μB/f.u.: 0.0

Which is the most stable structure? (P) is the most stable.

(P)
# Sc5Cu2 (PBE, optimized geometry)
data_Sc5Cu2
_chemical_formula_sum 'Sc10 Cu4'
_space_group_name_H-M_alt 'P 1'
_space_group_IT_number 1
_cell_length_a 8.417
_cell_length_b 8.417
_cell_length_c 8.417
_cell_angle_alpha 134.81
_cell_angle_beta 64.61
_cell_angle_gamma 136.39
loop_
_space_group_symop_operation_xyz
'x,y,z'
loop_
_atom_site_label
_atom_site_fract_x
_atom_site_fract_y
_atom_site_fract_z
Sc1 0.025 0.250 0.775
Sc2 0.090 0.637 0.726
Sc3 0.250 0.250 0.000
Sc4 0.410 0.137 0.547
Sc5 0.475 0.250 0.225
Sc6 0.525 0.750 0.775
Sc7 0.590 0.863 0.453
Sc8 0.750 0.750 0.000
Sc9 0.910 0.363 0.274
Sc10 0.975 0.750 0.225
Cu1 0.119 0.245 0.364
Cu2 0.381 0.745 0.126
Cu3 0.619 0.255 0.874
Cu4 0.881 0.755 0.636
# Size of the total moment, μB/f.u.: 0.0

(Q)
# Sc5Cu2 (PBE, optimized geometry)
data_Sc5Cu2
_chemical_formula_sum 'Sc10 Cu4'
_space_group_name_H-M_alt 'P 1'
_space_group_IT_number 1
_cell_length_a 8.027
_cell_length_b 8.027
_cell_length_c 6.175
_cell_angle_alpha 91.98
_cell_angle_beta 91.98
_cell_angle_gamma 46.66
loop_
_space_group_symop_operation_xyz
'x,y,z'
loop_
_atom_site_label
_atom_site_fract_x
_atom_site_fract_y
_atom_site_fract_z
Sc1 0.014 0.986 0.750
Sc2 0.190 0.258 0.274
Sc3 0.258 0.190 0.774
Sc4 0.271 0.541 0.016
Sc5 0.459 0.729 0.484
Sc6 0.541 0.271 0.516
Sc7 0.729 0.459 0.984
Sc8 0.742 0.810 0.226
Sc9 0.810 0.742 0.726
Sc10 0.986 0.014 0.250
Cu1 0.125 0.652 0.478
Cu2 0.348 0.875 0.022
Cu3 0.652 0.125 0.978
Cu4 0.875 0.348 0.522
# Size of the total moment, μB/f.u.: 0.0

Which is the most stable structure? (Q) is the most stable.

(P)
# Sc5Cu3 (PBE, optimized geometry)
data_Sc5Cu3
_chemical_formula_sum 'Sc5 Cu3'
_space_group_name_H-M_alt 'P 1'
_space_group_IT_number 1
_cell_length_a 3.236
_cell_length_b 3.236
_cell_length_c 14.764
_cell_angle_alpha 90.00
_cell_angle_beta 90.00
_cell_angle_gamma 90.00
loop_
_space_group_symop_operation_xyz
'x,y,z'
loop_
_atom_site_label
_atom_site_fract_x
_atom_site_fract_y
_atom_site_fract_z
Sc1 0.000 0.000 0.000
Sc2 0.000 0.000 0.222
Sc3 0.000 0.000 0.778
Sc4 0.500 0.500 0.389
Sc5 0.500 0.500 0.611
Cu1 0.000 0.000 0.500
Cu2 0.500 0.500 0.111
Cu3 0.500 0.500 0.889
# Size of the total moment, μB/f.u.: 0.8

(Q)
# Sc5Cu3 (PBE, optimized geometry)
data_Sc5Cu3
_chemical_formula_sum 'Sc5 Cu3'
_space_group_name_H-M_alt 'P 1'
_space_group_IT_number 1
_cell_length_a 5.875
_cell_length_b 5.875
_cell_length_c 4.630
_cell_angle_alpha 90.00
_cell_angle_beta 90.00
_cell_angle_gamma 107.33
loop_
_space_group_symop_operation_xyz
'x,y,z'
loop_
_atom_site_label
_atom_site_fract_x
_atom_site_fract_y
_atom_site_fract_z
Sc1 0.000 0.000 0.000
Sc2 0.000 0.500 0.000
Sc3 0.281 0.281 0.500
Sc4 0.500 0.000 0.000
Sc5 0.719 0.719 0.500
Cu1 0.217 0.783 0.500
Cu2 0.500 0.500 0.000
Cu3 0.783 0.217 0.500
# Size of the total moment, μB/f.u.: 0.0

(R)
# Sc5Cu3 (PBE, optimized geometry)
data_Sc5Cu3
_chemical_formula_sum 'Sc10 Cu6'
_space_group_name_H-M_alt 'P 1'
_space_group_IT_number 1
_cell_length_a 8.021
_cell_length_b 8.021
_cell_length_c 5.572
_cell_angle_alpha 90.00
_cell_angle_beta 90.00
_cell_angle_gamma 120.00
loop_
_space_group_symop_operation_xyz
'x,y,z'
loop_
_atom_site_label
_atom_site_fract_x
_atom_site_fract_y
_atom_site_fract_z
Sc1 0.000 0.242 0.250
Sc2 0.000 0.758 0.750
Sc3 0.242 0.000 0.250
Sc4 0.242 0.242 0.750
Sc5 0.333 0.667 0.000
Sc6 0.333 0.667 0.500
Sc7 0.667 0.333 0.000
Sc8 0.667 0.333 0.500
Sc9 0.758 0.000 0.750
Sc10 0.758 0.758 0.250
Cu1 0.000 0.404 0.750
Cu2 0.000 0.596 0.250
Cu3 0.404 0.000 0.750
Cu4 0.404 0.404 0.250
Cu5 0.596 0.000 0.250
Cu6 0.596 0.596 0.750
# Size of the total moment, μB/f.u.: 0.0

Which is the most stable structure? (P) is the most stable.

(P)
# Sc4Cu (PBE, optimized geometry)
data_Sc4Cu
_chemical_formula_sum 'Sc8 Cu2'
_space_group_name_H-M_alt 'P 1'
_space_group_IT_number 1
_cell_length_a 6.806
_cell_length_b 6.689
_cell_length_c 8.353
_cell_angle_alpha 52.39
_cell_angle_beta 51.13
_cell_angle_gamma 76.48
loop_
_space_group_symop_operation_xyz
'x,y,z'
loop_
_atom_site_label
_atom_site_fract_x
_atom_site_fract_y
_atom_site_fract_z
Sc1 0.160 0.276 0.988
Sc2 0.262 0.674 0.090
Sc3 0.276 0.160 0.576
Sc4 0.297 0.703 0.449
Sc5 0.674 0.262 0.974
Sc6 0.699 0.801 0.547
Sc7 0.703 0.297 0.551
Sc8 0.801 0.699 0.953
Cu1 0.111 0.111 0.389
Cu2 0.861 0.861 0.139
# Size of the total moment, μB/f.u.: 0.0

(Q)
# Sc4Cu (PBE, optimized geometry)
data_Sc4Cu
_chemical_formula_sum 'Sc4 Cu1'
_space_group_name_H-M_alt 'P 1'
_space_group_IT_number 1
_cell_length_a 4.996
_cell_length_b 4.996
_cell_length_c 4.996
_cell_angle_alpha 90.00
_cell_angle_beta 90.00
_cell_angle_gamma 90.00
loop_
_space_group_symop_operation_xyz
'x,y,z'
loop_
_atom_site_label
_atom_site_fract_x
_atom_site_fract_y
_atom_site_fract_z
Sc1 0.000 0.000 0.000
Sc2 0.000 0.500 0.500
Sc3 0.500 0.000 0.500
Sc4 0.500 0.500 0.000
Cu1 0.500 0.500 0.500
# Size of the total moment, μB/f.u.: 0.0

Which is the most stable structure? (P) is the most stable.